Compound: Be2FeNi
Source: the Alexandria database
Functional: PBEsol
Structure: optimized geometry

Properties
Theoretical density = 6.14 Mg/m³
Final energy = -5.9512 eV/atom
Formation energy from the elements = -0.171 eV per atom
Density of states at the Fermi level = 1.575 states/eV per cell

Cell lengths 2.517, 2.517, 5.662 Å; angles 90.00, 90.00, 90.00 degrees
Space group P4mm (No. 99)
Symmetry-distinct sites (fractional):
Be  0.000  0.000  0.000
Be  0.500  0.500  0.222
Fe  0.000  0.000  0.472
Ni  0.500  0.500  0.772